1.
DFT (PBE) results for a geometry-optimized TbVTcRu structure.

Cell: 6.417 6.417 6.417 Å, 90.00 90.00 90.00°
Atoms (fractional coordinates):
Tb (0.000, 0.000, 0.000)
Tb (0.000, 0.500, 0.500)
Tb (0.500, 0.000, 0.500)
Tb (0.500, 0.500, 0.000)
V (0.000, 0.000, 0.500)
V (0.000, 0.500, 0.000)
V (0.500, 0.000, 0.000)
V (0.500, 0.500, 0.500)
Tc (0.250, 0.250, 0.750)
Tc (0.250, 0.750, 0.250)
Tc (0.750, 0.250, 0.250)
Tc (0.750, 0.750, 0.750)
Ru (0.250, 0.250, 0.250)
Ru (0.250, 0.750, 0.750)
Ru (0.750, 0.250, 0.750)
Ru (0.750, 0.750, 0.250)

Summary:
Total DFT energy (no corrections) (eV/atom): -8.376
Space-group type: F-43m, No. 216
DOS at the Fermi energy (states/eV per atom): 1.09
Formation energy from the elements (eV/atom): -0.028

=====

2.
DFT (PBE) results for a geometry-optimized AgSb2 structure.

Cell: 3.269 3.269 8.124 Å, 90.00 90.00 120.00°
Atoms (fractional coordinates):
Ag (0.000, 0.000, 0.000)
Sb (0.333, 0.667, 0.293)
Sb (0.667, 0.333, 0.707)

Summary:
Total DFT energy (no corrections) (eV/atom): -3.498
Space-group type: P-3m1, No. 164
Raw formation energy (eV per atom): 0.201
DOS at the Fermi energy (states/eV per atom): 0.40

=====

3.
DFT (PBE) results for a geometry-optimized YTa2Ir structure.

Cell: 3.011 3.011 29.628 Å, 90.00 90.00 120.00°
Atoms (fractional coordinates):
Y (0.000, 0.000, 0.000)
Y (0.333, 0.667, 0.667)
Y (0.667, 0.333, 0.333)
Ta (0.000, 0.000, 0.241)
Ta (0.000, 0.000, 0.759)
Ta (0.333, 0.667, 0.426)
Ta (0.333, 0.667, 0.907)
Ta (0.667, 0.333, 0.093)
Ta (0.667, 0.333, 0.574)
Ir (0.000, 0.000, 0.500)
Ir (0.333, 0.667, 0.167)
Ir (0.667, 0.333, 0.833)

Summary:
Total DFT energy (no corrections) (eV/atom): -9.555
Space-group type: R-3m, No. 166
DOS at the Fermi energy (states/eV per atom): 1.51
ΔE to the lowest computed polymorph (eV/atom): 0.386
Formation energy from the elements (eV/atom): 0.203

=====

4.
DFT (PBE) results for a geometry-optimized LiAlRu2 structure.

Cell: 9.625 2.937 4.204 Å, 90.00 115.81 90.00°
Atoms (fractional coordinates):
Li (0.000, 0.000, 0.000)
Li (0.500, 0.500, 0.000)
Al (0.245, 0.000, 0.745)
Al (0.745, 0.500, 0.745)
Ru (0.251, 0.500, 0.251)
Ru (0.496, 0.000, 0.496)
Ru (0.751, 0.000, 0.251)
Ru (0.996, 0.500, 0.496)

Summary:
Total DFT energy (no corrections) (eV/atom): -6.190
Space-group type: Cm, No. 8
DOS at the Fermi energy (states/eV per atom): 0.99
Formation energy from the elements (eV/atom): -0.138

=====

5.
DFT (PBE) results for a geometry-optimized InTcSn2Hg structure.

Cell: 5.173 5.173 5.316 Å, 90.00 90.00 90.00°
Atoms (fractional coordinates):
In (0.000, 0.000, 0.000)
Tc (0.000, 0.000, 0.500)
Sn (0.000, 0.500, 0.500)
Sn (0.500, 0.000, 0.500)
Hg (0.500, 0.500, 0.000)

Summary:
Total DFT energy (no corrections) (eV/atom): -4.215
Space-group type: P4/mmm, No. 123
DOS at the Fermi energy (states/eV per atom): 0.09
Formation energy from the elements (eV/atom): 0.067

=====

6.
DFT (PBE) results for a geometry-optimized NiTe2H2 structure.

Cell: 5.758 5.758 6.304 Å, 97.51 97.51 102.51°
Atoms (fractional coordinates):
Ni (0.148, 0.852, 0.000)
Ni (0.852, 0.148, 0.000)
Te (0.023, 0.447, 0.752)
Te (0.447, 0.023, 0.752)
Te (0.553, 0.977, 0.248)
Te (0.977, 0.553, 0.248)
H (0.105, 0.105, 0.115)
H (0.298, 0.298, 0.739)
H (0.702, 0.702, 0.261)
H (0.895, 0.895, 0.885)

Summary:
Total DFT energy (no corrections) (eV/atom): -3.673
Space-group type: C2/m, No. 12
DOS at the Fermi energy (states/eV per atom): 0.53

=====

7.
DFT (PBE) results for a geometry-optimized AlRh4Se structure.

Cell: 5.154 5.154 5.154 Å, 60.00 60.00 60.00°
Atoms (fractional coordinates):
Al (0.000, 0.000, 0.000)
Rh (0.126, 0.625, 0.625)
Rh (0.625, 0.126, 0.625)
Rh (0.625, 0.625, 0.126)
Rh (0.625, 0.625, 0.625)
Se (0.250, 0.250, 0.250)

Summary:
Total DFT energy (no corrections) (eV/atom): -5.848
Space-group type: F-43m, No. 216
Raw formation energy (eV per atom): 0.258
DOS at the Fermi energy (states/eV per atom): 1.45

=====

8.
DFT (PBE) results for a geometry-optimized La2Pm4Mg structure.

Cell: 6.176 6.709 11.817 Å, 90.00 105.03 90.00°
Atoms (fractional coordinates):
La (0.095, 0.250, 0.496)
La (0.356, 0.750, 0.072)
La (0.644, 0.250, 0.928)
La (0.905, 0.750, 0.504)
Pm (0.137, 0.502, 0.783)
Pm (0.137, 0.998, 0.783)
Pm (0.201, 0.250, 0.058)
Pm (0.361, 0.750, 0.378)
Pm (0.639, 0.250, 0.622)
Pm (0.799, 0.750, 0.942)
Pm (0.863, 0.002, 0.217)
Pm (0.863, 0.498, 0.217)
Mg (0.483, 0.250, 0.332)
Mg (0.517, 0.750, 0.668)

Summary:
Total DFT energy (no corrections) (eV/atom): -4.278
Space-group type: P2_1/m, No. 11
DOS at the Fermi energy (states/eV per atom): 1.33
ΔE to the lowest computed polymorph (eV/atom): 0.000
Formation energy from the elements (eV/atom): 0.073